Entry 1:
! AcTm2Rh9 | Alexandria | PBE | optimized geometry; values from VASP
&SYSTEM
  ibrav = 0, nat = 12, ntyp = 3
/
ATOMIC_SPECIES
Ac 227.00 Ac.upf
Tm 168.93 Tm.upf
Rh 102.91 Rh.upf
CELL_PARAMETERS angstrom
2.6557 1.5332 8.7671
-2.6557 1.5332 8.7671
0.0000 -3.0665 8.7671
ATOMIC_POSITIONS angstrom
Ac 0.0000 0.0000 0.0000
Tm 0.0000 0.0000 3.6985
Tm 0.0000 0.0000 22.6027
Rh -1.3344 -0.7704 11.0001
Rh 0.0000 0.0000 8.7653
Rh 0.0000 -1.5408 15.3012
Rh -1.3344 0.7704 15.3012
Rh 0.0000 0.0000 13.1506
Rh 1.3344 -0.7704 11.0001
Rh 0.0000 1.5408 11.0001
Rh 0.0000 0.0000 17.5359
Rh 1.3344 0.7704 15.3012
! total energy: -7.16 eV per atom
! space group: R-3m
! ΔH_f (0 K): -0.56 eV per atom
! calculated volume: 214.19 Å³ per cell

Entry 2:
! AcTm3Rh | Alexandria | PBE | optimized geometry; values from VASP
&SYSTEM
  ibrav = 0, nat = 5, ntyp = 3
/
ATOMIC_SPECIES
Ac 227.00 Ac.upf
Tm 168.93 Tm.upf
Rh 102.91 Rh.upf
CELL_PARAMETERS angstrom
5.4147 0.0000 0.0000
0.0000 5.4147 0.0000
0.0000 0.0000 5.4147
ATOMIC_POSITIONS angstrom
Ac 0.0000 0.0000 0.0000
Tm 0.0000 2.7074 2.7074
Tm 2.7074 0.0000 2.7074
Tm 2.7074 2.7074 0.0000
Rh 2.7074 2.7074 2.7074
! total energy: -5.31 eV per atom
! space group: Pm-3m
! ΔH_f (0 K): -0.33 eV per atom
! calculated volume: 158.75 Å³ per cell

Entry 3:
! Ac12TmRh7 | Alexandria | PBE | optimized geometry; values from VASP
&SYSTEM
  ibrav = 0, nat = 20, ntyp = 3
/
ATOMIC_SPECIES
Ac 227.00 Ac.upf
Tm 168.93 Tm.upf
Rh 102.91 Rh.upf
CELL_PARAMETERS angstrom
7.6480 4.4156 3.4740
-7.6480 4.4156 3.4740
0.0000 -8.8312 3.4740
ATOMIC_POSITIONS angstrom
Ac -0.5848 -2.2606 1.8329
Ac -1.6653 1.6368 1.8329
Ac -2.9871 -3.0041 5.1585
Ac -4.0952 1.0849 5.2634
Ac 2.2502 0.6238 1.8329
Ac 1.1080 -4.0890 5.2634
Ac -1.1080 4.0890 5.1585
Ac -2.2502 -0.6238 8.5890
Ac 4.0952 -1.0849 5.1585
Ac 2.9871 3.0040 5.2634
Ac 1.6653 -1.6368 8.5890
Ac 0.5848 2.2606 8.5890
Tm 0.0000 0.0000 5.2109
Rh 0.0000 0.0000 0.0000
Rh -2.4159 -0.6162 3.5500
Rh 1.7416 -1.7842 3.5501
Rh 0.6743 2.4003 3.5501
Rh -0.6743 -2.4003 6.8718
Rh -1.7416 1.7842 6.8718
Rh 2.4159 0.6162 6.8718
! total energy: -5.82 eV per atom
! space group: R-3
! ΔH_f (0 K): -0.55 eV per atom
! calculated volume: 703.90 Å³ per cell